P:
Computed, not measured: an optimized crystal structure of TcGeAs at the PBE-GGA level of DFT.

Lattice parameters (Å, degrees): 6.9820 4.8203 3.2003 109.39 103.23 91.64
Closest atoms and distances in Å follow each position.
Fractional coordinates of all 6 atoms:
Ge  0.3941  0.3719  0.6724  3 As 2.45-2.72, 3 Tc 2.56-2.62
Ge  0.7445  0.8099  0.5663  5 Tc 2.60-2.77, 2 As 2.90
As  0.3255  0.8884  0.8961  3 Ge 2.45-2.72, 3 Tc 2.51-2.60
As  0.9602  0.4234  0.9809  5 Tc 2.60-2.70, 2 Ge 2.90
Tc  0.6604  0.2280  0.2328  5 Ge 2.56-2.64, 3 As 2.60-2.66
Tc  0.0631  0.0150  0.3288  5 As 2.51-2.70, 3 Ge 2.62-2.77

magnetic moment: 0.00 μB/cell

***

Q:
Computed, not measured: an optimized crystal structure of TcGeAs at the PBE-GGA level of DFT.

Lattice parameters (Å, degrees): 3.1442 4.2888 4.2888 120.00 90.00 90.00
Closest atoms and distances in Å follow each position.
Fractional coordinates of all 3 atoms:
As  0.1668  0.3333  0.6667  3 Tc 2.48
Ge  0.6664  0.6667  0.3333  6 Tc 2.93, 6 As 2.93, 2 Ge 3.14
Tc  0.1668  0.0000  0.0000  3 As 2.48

magnetic moment: 0.00 μB/cell

***

R:
Computed, not measured: an optimized crystal structure of TcGeAs at the PBE-GGA level of DFT.

Lattice parameters (Å, degrees): 7.7772 3.2147 9.1715 90.00 120.78 90.00
Closest atoms and distances in Å follow each position.
Fractional coordinates of all 12 atoms:
Tc  0.7894  0.0000  0.3398  3 As 2.49-2.56, 5 Ge 2.66-2.73
Tc  0.2106  0.0000  0.6602  3 As 2.49-2.56, 5 Ge 2.66-2.73
Tc  0.7894  0.5000  0.8398  3 As 2.49-2.56, 5 Ge 2.66-2.73
Tc  0.2106  0.5000  0.1602  3 As 2.49-2.56, 5 Ge 2.66-2.73
Ge  0.1016  0.0000  0.8959  5 Tc 2.66-2.73, 2 Ge 2.81
Ge  0.8984  0.0000  0.1041  5 Tc 2.66-2.73, 2 Ge 2.81
Ge  0.1016  0.5000  0.3959  5 Tc 2.66-2.73, 2 Ge 2.81
Ge  0.8984  0.5000  0.6041  5 Tc 2.66-2.73, 2 Ge 2.81
As  0.5290  0.0000  0.6422  1 As 2.41, 3 Tc 2.49-2.56
As  0.4710  0.0000  0.3578  1 As 2.41, 3 Tc 2.49-2.56
As  0.5290  0.5000  0.1422  1 As 2.41, 3 Tc 2.49-2.56
As  0.4710  0.5000  0.8578  1 As 2.41, 3 Tc 2.49-2.56

magnetic moment: 0.00 μB/cell

***

S:
Computed, not measured: an optimized crystal structure of TcGeAs at the PBE-GGA level of DFT.

Lattice parameters (Å, degrees): 3.3475 3.3475 5.6228 90.00 90.00 120.00
Closest atoms and distances in Å follow each position.
Fractional coordinates of all 3 atoms:
As  0.3333  0.6667  0.0126  1 Ge 2.46, 3 Tc 2.47
Ge  0.3333  0.6667  0.4500  1 As 2.46, 3 Tc 2.52
Tc  0.0000  0.0000  0.7379  3 As 2.47, 3 Ge 2.52

magnetic moment: 0.00 μB/cell

***

Which is the most stable structure? P is the most stable.

***

P:
Computed, not measured: an optimized crystal structure of TcGeAs at the PBE-GGA level of DFT.

Lattice parameters (Å, degrees): 7.3924 3.1815 9.0528 90.00 110.49 90.00
Closest atoms and distances in Å follow each position.
Fractional coordinates of all 12 atoms:
Tc  0.7034  0.0000  0.3366  4 As 2.57-2.76, 4 Ge 2.58-2.74
Tc  0.7034  0.5000  0.8366  4 As 2.57-2.76, 4 Ge 2.58-2.74
Tc  0.2955  0.0000  0.0846  4 As 2.53-2.70, 4 Ge 2.62-2.67
Tc  0.2955  0.5000  0.5846  4 As 2.53-2.70, 4 Ge 2.62-2.67
Ge  0.3982  0.0000  0.8296  5 Tc 2.62-2.74, 3 As 2.85-2.88
Ge  0.3982  0.5000  0.3296  5 Tc 2.62-2.74, 3 As 2.85-2.88
Ge  0.9776  0.0000  0.8339  3 As 2.45-2.66, 3 Tc 2.58-2.63
Ge  0.9776  0.5000  0.3339  3 As 2.45-2.66, 3 Tc 2.58-2.63
As  0.5956  0.0000  0.5989  5 Tc 2.57-2.76, 2 Ge 2.85
As  0.5956  0.5000  0.0989  5 Tc 2.57-2.76, 2 Ge 2.85
As  0.0268  0.0000  0.5797  3 Ge 2.45-2.66, 3 Tc 2.53-2.62
As  0.0268  0.5000  0.0797  3 Ge 2.45-2.66, 3 Tc 2.53-2.62

magnetic moment: 0.00 μB/cell

***

Q:
Computed, not measured: an optimized crystal structure of TcGeAs at the PBE-GGA level of DFT.

Lattice parameters (Å, degrees): 7.3664 3.3063 8.8138 90.00 109.01 90.00
Closest atoms and distances in Å follow each position.
Fractional coordinates of all 12 atoms:
Tc  0.3488  0.0000  0.9024  4 Ge 2.50-2.64, 3 As 2.51-2.60
Tc  0.3488  0.5000  0.4024  4 Ge 2.50-2.64, 3 As 2.51-2.60
Tc  0.9314  0.0000  0.6211  4 As 2.54-2.61, 3 Ge 2.55-2.68
Tc  0.9314  0.5000  0.1211  4 As 2.54-2.61, 3 Ge 2.55-2.68
Ge  0.6767  0.0000  0.1410  3 As 2.45-2.66, 3 Tc 2.55-2.64
Ge  0.6767  0.5000  0.6410  3 As 2.45-2.66, 3 Tc 2.55-2.64
Ge  0.2900  0.0000  0.6068  4 Tc 2.50-2.68, 2 As 2.74
Ge  0.2900  0.5000  0.1068  4 Tc 2.50-2.68, 2 As 2.74
As  0.6003  0.0000  0.3914  3 Ge 2.45-2.66, 3 Tc 2.51-2.61
As  0.6003  0.5000  0.8914  3 Ge 2.45-2.66, 3 Tc 2.51-2.61
As  0.0051  0.0000  0.9237  4 Tc 2.54-2.60, 2 Ge 2.74
As  0.0051  0.5000  0.4237  4 Tc 2.54-2.60, 2 Ge 2.74

magnetic moment: 0.00 μB/cell

***

Which is the most stable structure? Q is the most stable.